1.
Below is a geometry-optimized LiCu4Sb structure, with properties calculated at the PBE level.

Final energy ... -92.5 eV/cell

Cell lengths 7.0250, 7.0250, 7.0250 Å; angles 90.00, 90.00, 90.00 degrees
Closest atoms and distances in Å follow each position.
Space group F-43m (No. 216)
Asymmetric unit:
Li  0.0000  0.0000  0.0000  12 Cu 2.91, 4 Sb 3.04
Cu  0.1259  0.1259  0.3741  6 Cu 2.47-2.50
Sb  0.2500  0.2500  0.7500  12 Cu 2.91, 4 Li 3.04


2.
Below is a geometry-optimized TeAs structure, with properties calculated at the PBE level.

Final energy ... -30.3 eV/cell

Cell lengths 7.7110, 8.2976, 4.2476 Å; angles 90.00, 90.00, 90.00 degrees
Closest atoms and distances in Å follow each position.
Space group Cmm2 (No. 35)
Asymmetric unit:
Te  0.2500  0.2500  0.0000  2 As 2.66
As  0.0000  0.1568  0.6077  1 As 2.60, 2 Te 2.66


no.,uncorrected formation energy (eV/atom)
1,-0.12
2,0.11